VASP calculation (PBE-GGA) on a relaxed Sb2Au3 crystal.

Properties
The value obtained for the density of states at the Fermi level is 0.336 states/eV per atom. As for the raw formation energy: 10.5 meV/atom.

The structure in CIF format:
```
data_Sb2Au3
_cell_length_a 4.477
_cell_length_b 7.116
_cell_length_c 8.064
_cell_angle_alpha 90.02
_cell_angle_beta 90.00
_cell_angle_gamma 90.23
_symmetry_space_group_name_H-M 'P -1'
_symmetry_Int_Tables_number 2
loop_
_symmetry_equiv_pos_as_xyz
'x,y,z'
'-x,-y,-z'
loop_
_atom_site_label
_atom_site_fract_x
_atom_site_fract_y
_atom_site_fract_z
_atom_site_occupancy
Sb1 0.001 0.145 0.128 1
Sb2 0.002 0.645 0.372 1
Au1 0.000 0.000 0.500 1
Au2 0.000 0.500 0.000 1
Au3 0.499 0.428 0.803 1
Au4 0.499 0.929 0.697 1
```